Below is RbLi3Np2S6 after structural relaxation, with properties calculated at the GGA-PBE level.

Properties
The volume comes out at 300 Å³/cell. The raw formation energy is -15.458 eV per formula unit. For the density of states at the Fermi level, the calculation gives 14.176 states/eV per cell. The total magnetization comes out at 0.50 μB per atom. The value obtained for the total DFT energy (no corrections) is -6.07 eV/atom.

a b c (Å): 8.139 8.139 9.627
angles (deg): 98.22 98.22 28.41
Sites, in units of the cell vectors:
Rb 0.000 0.000 0.000
Li 0.000 0.000 0.500
Li 0.352 0.352 0.295
Li 0.648 0.648 0.705
Np 0.332 0.332 0.655
Np 0.668 0.668 0.345
S 0.162 0.162 0.543
S 0.201 0.201 0.180
S 0.495 0.495 0.709
S 0.505 0.505 0.291
S 0.799 0.799 0.820
S 0.838 0.838 0.457

---

Below is PrB2Pt9 after structural relaxation, with properties calculated at the GGA-PBE level.

Properties
The volume comes out at 192 Å³/cell. For the density of states at the Fermi level, the calculation gives 9.377 states/eV per cell. The total magnetization comes out at 0.00 μB per atom. The calculation puts the energy of formation at -0.324 eV per atom. The value obtained for the total DFT energy (no corrections) is -6.37 eV/atom.

a b c (Å): 7.532 7.532 3.907
angles (deg): 90.00 90.00 120.00
Sites, in units of the cell vectors:
Pr 0.000 0.000 0.000
B 0.333 0.667 0.000
B 0.667 0.333 0.000
Pt 0.000 0.500 0.000
Pt 0.208 0.416 0.500
Pt 0.208 0.792 0.500
Pt 0.416 0.208 0.500
Pt 0.500 0.000 0.000
Pt 0.500 0.500 0.000
Pt 0.584 0.792 0.500
Pt 0.792 0.208 0.500
Pt 0.792 0.584 0.500

---

Below is MnAs2AuS after structural relaxation, with properties calculated at the GGA-PBE level.

Properties
The volume comes out at 120 Å³/cell. The raw formation energy is 7.497 eV per formula unit. For the density of states at the Fermi level, the calculation gives 11.298 states/eV per cell. The total magnetization comes out at 0.01 μB per atom. The value obtained for the total DFT energy (no corrections) is -3.68 eV/atom.

a b c (Å): 4.933 4.933 4.932
angles (deg): 90.00 90.00 90.00
Sites, in units of the cell vectors:
Mn 0.000 0.000 0.000
As 0.000 0.500 0.500
As 0.500 0.000 0.500
Au 0.000 0.000 0.500
S 0.500 0.500 0.000